Mn3PdS: optimized geometry, GGA-PBE.

a b c (Å): 4.073 4.073 4.073
angles (deg): 90.00 90.00 90.00
Last column: magnetic moment on the atom in μB.
Positions (direct):
Mn 0.000 0.500 0.000  0.13
Mn 0.500 0.000 0.000  0.09
Mn 0.000 0.000 0.500  0.20
S 0.000 0.000 0.000  -0.01
Pd 0.500 0.500 0.500  0.01

Output
E_form (uncorrected)   201 kJ/mol of formula units
Relative energy among the computed polymorphs   0 meV/atom
Total DFT energy (no corrections)   -6.95 eV/atom